# KNp2PtSe4

A geometry-optimized KNp2PtSe4 structure (GGA-PBE, Alexandria).

Computed properties:
Space group: Cmcm
ΔE_f (raw): -1.027 eV per atom
Magnetization: 7.09 μB/f.u.
Calculated volume: 26.17 A^3/atom

POSCAR file:
```
KNp2PtSe4
1.0
4.136 0.000 0.000
-2.068 7.049 0.000
0.000 0.000 14.361
K Np Pt Se
2 4 2 8
direct
0.117 0.235 0.750
0.883 0.765 0.250
0.367 0.735 0.568
0.633 0.265 0.068
0.633 0.265 0.432
0.367 0.735 0.932
0.842 0.684 0.750
0.158 0.316 0.250
0.267 0.534 0.107
0.733 0.466 0.607
0.733 0.466 0.893
0.267 0.534 0.393
0.000 0.000 0.500
0.000 0.000 0.000
0.443 0.886 0.750
0.557 0.114 0.250
```